No. 1
LiPmThHg, optimized geometry, DFT PBE; crystal system = cubic; energy of formation = -0.245 eV per formula unit
1.0
5.346 0.000 0.000
2.673 4.630 0.000
2.673 1.543 4.365
Pm Hg Li Th
1 1 1 1
Direct
0.250 0.250 0.250
0.500 0.500 0.500
0.000 0.000 0.000
0.750 0.750 0.750


No. 2
LiPmTlHg, optimized geometry, DFT PBE; crystal system = cubic; energy of formation = -1.611 eV per formula unit
1.0
-0.923 -1.700 -4.804
3.860 -0.253 -3.443
1.823 -4.605 -1.512
Tl Li Hg Pm
1 1 1 1
Direct
0.750 0.750 0.750
0.000 0.000 0.000
0.250 0.250 0.250
0.500 0.500 0.500


No. 3
LiPmTmHg, optimized geometry, DFT PBE; crystal system = cubic; energy of formation = -0.807 eV per formula unit
1.0
5.259 0.000 0.000
2.630 4.555 0.000
2.630 1.518 4.294
Hg Pm Li Tm
1 1 1 1
Direct
0.500 0.500 0.500
0.750 0.750 0.750
0.000 0.000 0.000
0.250 0.250 0.250


Calculated total magnetization, 0.0008, 0.0000, 0.0003 μB per atom (same order as the records).
Calculated VASP energy, -3.66, -2.74, -3.06 eV per atom (same order as the records).